(1)
The following is a PBE calculation of a relaxed structure of La8PrEr2, from the Alexandria database.

a = 19.6882 Å, b = 7.2087 Å, c = 5.7890 Å
α = 90.00°, β = 92.96°, γ = 90.00°
Last column: nearest neighbours and their distance in Å.
Space group C2/m (No. 12)
Asymmetric unit:
1 La 0.0439 0.0000 0.2388 [4 per cell]  2 La 3.18-3.56, 1 Er 3.38
2 La 0.1333 0.2258 0.7352 [8 per cell]  2 La 3.26-3.62, 1 Er 3.57
3 La 0.1859 0.5000 0.2360 [4 per cell]  4 Er 3.45-3.65, 4 La 3.62-3.69, 1 Pr 3.84
4 Pr 0.0000 0.5000 0.0000 [2 per cell]  10 La 3.68-3.94
5 Er 0.2159 0.0000 0.2540 [4 per cell]  11 La 3.38-3.72

***

(2)
The following is a PBE calculation of a relaxed structure of TbDyPd2, from the Alexandria database.

a = 5.0234 Å, b = 5.0234 Å, c = 3.4387 Å
α = 90.00°, β = 90.00°, γ = 90.00°
Last column: nearest neighbours and their distance in Å.
Space group P4/mmm (No. 123)
Asymmetric unit:
1 Tb 0.0000 0.0000 0.0000 [1 per cell]  8 Pd 3.04
2 Dy 0.5000 0.5000 0.0000 [1 per cell]  8 Pd 3.04
3 Pd 0.0000 0.5000 0.5000 [2 per cell]  4 Tb 3.04, 4 Dy 3.04

***

Number 1: ΔE to the lowest computed polymorph 0.0380 eV per atom. Number 2: ΔE to the lowest computed polymorph 0.0336 eV per atom.